1.
{
  "formula": "SiHgAs2",
  "functional": "PBE",
  "state": "relaxed",
  "space_group": "No. 8",
  "dos_ef_per_ev_fu": 1.02,
  "formation_energy_uncorrected_ev_per_atom": 0.342,
  "lattice": [[-2.237, -5.235, -0.075], [-1.278, -4.641, -3.040], [5.262, -1.520, 1.396]],
  "species": ["As", "As", "Hg", "Si"],
  "frac_coords": [[0.114, 0.114, 0.093], [0.338, 0.338, 0.066], [0.397, 0.397, 0.566], [0.651, 0.651, 0.775]]
}

---

2.
{
  "formula": "KSbTe2Cl",
  "functional": "PBE",
  "state": "relaxed",
  "space_group": "No. 123",
  "dos_ef_per_ev_fu": 10.22,
  "formation_energy_uncorrected_ev_per_atom": 0.934,
  "lattice": [[-5.316, -1.964, 1.796], [2.291, -1.335, 5.321], [-1.414, 5.690, 2.037]],
  "species": ["Sb", "K", "Te", "Te", "Cl"],
  "frac_coords": [[0.000, 0.000, 0.500], [0.000, 0.000, 0.000], [0.000, 0.500, 0.000], [0.500, 0.000, 0.000], [0.500, 0.500, 0.500]]
}

---

3.
{
  "formula": "SmInHgBi",
  "functional": "PBE",
  "state": "relaxed",
  "delta_e_f_ev_per_atom": -0.29,
  "space_group": "No. 216",
  "dos_ef_per_ev_fu": 3.11,
  "lattice": [[-2.159, -4.862, 1.228], [1.157, -2.372, 4.779], [-3.844, -0.384, 3.858]],
  "species": ["In", "Bi", "Sm", "Hg"],
  "frac_coords": [[0.750, 0.750, 0.750], [0.000, 0.000, 0.000], [0.250, 0.250, 0.250], [0.500, 0.500, 0.500]]
}

---

4.
{
  "formula": "LaBeGe3",
  "functional": "PBE",
  "state": "relaxed",
  "delta_e_f_ev_per_atom": 0.27,
  "space_group": "No. 227",
  "dos_ef_per_ev_fu": 6.49,
  "lattice": [[-7.707, -0.757, 4.019], [-2.059, 5.397, 6.539], [-6.134, 6.099, -1.143]],
  "species": ["Be", "Be", "Be", "Be", "Ge", "Ge", "Ge", "Ge", "Ge", "Ge", "Ge", "Ge", "Ge", "Ge", "Ge", "Ge", "La", "La", "La", "La"],
  "frac_coords": [[0.125, 0.125, 0.125], [0.125, 0.125, 0.625], [0.125, 0.625, 0.125], [0.625, 0.125, 0.125], [0.179, 0.821, 0.179], [0.429, 0.071, 0.429], [0.071, 0.429, 0.429], [0.071, 0.429, 0.071], [0.071, 0.071, 0.429], [0.821, 0.821, 0.179], [0.429, 0.429, 0.071], [0.429, 0.071, 0.071], [0.179, 0.179, 0.821], [0.821, 0.179, 0.821], [0.821, 0.179, 0.179], [0.179, 0.821, 0.821], [0.625, 0.625, 0.625], [0.625, 0.625, 0.125], [0.625, 0.125, 0.625], [0.125, 0.625, 0.625]]
}

---

5.
{
  "formula": "MgSN2O",
  "functional": "PBE",
  "state": "relaxed",
  "space_group": "No. 123",
  "dos_ef_per_ev_fu": 4.51,
  "formation_energy_uncorrected_ev_per_atom": 1.996,
  "lattice": [[3.975, 0.000, 0.000], [0.000, 3.975, 0.000], [0.000, 0.000, 5.279]],
  "species": ["S", "Mg", "O", "N", "N"],
  "frac_coords": [[0.000, 0.000, 0.500], [0.000, 0.000, 0.000], [0.500, 0.500, 0.500], [0.000, 0.500, 0.000], [0.500, 0.000, 0.000]]
}

---

6.
{
  "formula": "MgGe2Pb",
  "functional": "PBE",
  "state": "relaxed",
  "delta_e_f_ev_per_atom": 0.37,
  "space_group": "No. 122",
  "dos_ef_per_ev_fu": 2.35,
  "lattice": [[6.695, 0.000, 0.000], [0.000, 6.695, 0.000], [3.347, 3.347, 5.481]],
  "species": ["Pb", "Pb", "Ge", "Ge", "Ge", "Ge", "Mg", "Mg"],
  "frac_coords": [[0.000, 0.000, 0.000], [0.750, 0.250, 0.500], [0.618, 0.125, 0.250], [0.132, 0.625, 0.250], [0.375, 0.382, 0.750], [0.875, 0.868, 0.750], [0.500, 0.500, 0.000], [0.250, 0.750, 0.500]]
}

---

7.
{
  "formula": "CoMoPt2",
  "functional": "PBE",
  "state": "relaxed",
  "delta_e_f_ev_per_atom": -0.19,
  "space_group": "No. 47",
  "dos_ef_per_ev_fu": 4.39,
  "lattice": [[3.928, 0.000, 0.000], [0.000, 2.738, 0.006], [0.000, 2.720, 5.385]],
  "species": ["Co", "Mo", "Pt", "Pt"],
  "frac_coords": [[0.500, 0.250, 0.250], [0.500, 0.750, 0.750], [0.000, 0.997, 0.004], [0.000, 0.503, 0.496]]
}

---

8.
{
  "formula": "KMn2BiC",
  "functional": "PBE",
  "state": "relaxed",
  "delta_e_f_ev_per_atom": 1.71,
  "space_group": "No. 123",
  "dos_ef_per_ev_fu": 6.35,
  "lattice": [[5.268, 0.000, 0.000], [0.000, 5.030, 0.000], [0.000, 0.000, 5.268]],
  "species": ["C", "K", "Mn", "Mn", "Bi"],
  "frac_coords": [[0.000, 0.500, 0.000], [0.500, 0.500, 0.500], [0.000, 0.000, 0.500], [0.500, 0.000, 0.000], [0.000, 0.000, 0.000]]
}

---

| no. | calculated total energy (eV per atom) | total magnetization (μB/cell) |
| --- | --- | --- |
| 1 | -3.414 | 0.00 |
| 2 | -1.736 | 0.00 |
| 3 | -3.203 | 0.00 |
| 4 | -4.235 | 2.00 |
| 5 | -3.470 | 4.82 |
| 6 | -3.261 | 0.00 |
| 7 | -7.691 | 1.49 |
| 8 | -4.795 | 7.14 |